A geometry-optimized Zn2Tc structure, computed with PBEsol.

Results
Symmetry: Cm
ρ: 9.23 g cm⁻³
Raw total energy: -28.6 eV/cell

abc: 2.7212 5.1216 6.3444
angles: 104.54 90.00 105.41
Fractional coordinates of all 6 atoms:
Zn (0.3810, 0.7620, 0.2756)
Zn (0.0577, 0.1154, 0.6154)
Zn (0.3361, 0.6722, 0.6661)
Zn (0.7271, 0.4542, 0.9405)
Tc (0.0055, 0.0109, 0.0070)
Tc (0.6593, 0.3186, 0.3289)



A geometry-optimized MgAu2Cl structure, computed with PBEsol.

Results
ΔE_f (raw): -1.1 eV/f.u.
Symmetry: P4/mmm
ρ: 10.00 g cm⁻³

abc: 3.7465 3.7400 5.3778
angles: 90.00 90.00 90.00
Fractional coordinates of all 4 atoms:
Au (0.0000, 0.0000, 0.7445)
Au (0.0000, 0.0000, 0.2555)
Cl (0.5000, 0.5000, 0.0000)
Mg (0.5000, 0.5000, 0.5000)



A geometry-optimized KBaBi structure, computed with PBEsol.

Results
Symmetry: P6_3/mmc
ρ: 5.39 g cm⁻³
Raw total energy: -19.6 eV/cell

abc: 6.0724 6.0724 7.4419
angles: 90.00 90.00 120.00
Fractional coordinates of all 6 atoms:
K (0.0000, 0.0000, 0.5000)
K (0.0000, 0.0000, 0.0000)
Bi (0.6667, 0.3333, 0.7500)
Bi (0.3333, 0.6667, 0.2500)
Ba (0.3333, 0.6667, 0.7500)
Ba (0.6667, 0.3333, 0.2500)



A geometry-optimized Mg2SnF2 structure, computed with PBEsol.

Results
ΔE_f (raw): -10.3 eV/f.u.
Symmetry: I4/mmm
ρ: 4.39 g cm⁻³

abc: 3.4654 3.4654 6.9206
angles: 104.50 104.50 90.00
Fractional coordinates of all 5 atoms:
Mg (0.3411, 0.3411, 0.6822)
Mg (0.6589, 0.6589, 0.3178)
Sn (0.0000, 0.0000, 0.0000)
F (0.2500, 0.7500, 0.5000)
F (0.7500, 0.2500, 0.5000)



A geometry-optimized FeCo4Se structure, computed with PBEsol.

Results
ΔE_f (raw): 2.2 eV/f.u.
Symmetry: F-43m
ρ: 8.48 g cm⁻³

abc: 4.6824 4.6824 4.6824
angles: 60.00 60.00 60.00
Each line ends with the local moment (μB).
Fractional coordinates of all 6 atoms:
Co (0.3754, 0.3754, 0.3754)  1.69
Co (0.3754, 0.3754, 0.8737)  1.69
Co (0.8737, 0.3754, 0.3754)  1.69
Co (0.3754, 0.8737, 0.3754)  1.69
Fe (0.7500, 0.7500, 0.7500)  2.92
Se (0.0000, 0.0000, 0.0000)  0.09



A geometry-optimized TlSn3W structure, computed with PBEsol.

Results
Symmetry: Pm-3m
ρ: 7.64 g cm⁻³
Raw total energy: -19.7 eV/cell

abc: 5.4493 5.4493 5.4493
angles: 90.00 90.00 90.00
Each line ends with the local moment (μB).
Fractional coordinates of all 5 atoms:
Tl (0.0000, 0.0000, 0.0000)  0.00
Sn (0.0000, 0.5000, 0.0000)  -0.03
Sn (0.0000, 0.0000, 0.5000)  -0.03
Sn (0.5000, 0.0000, 0.0000)  -0.03
W (0.5000, 0.5000, 0.5000)  3.06



A geometry-optimized TeP2Ir structure, computed with PBEsol.

Results
ΔE_f (raw): 0.5 eV/f.u.
Symmetry: Imm2
ρ: 8.27 g cm⁻³

abc: 3.4392 3.5657 6.7209
angles: 105.38 104.82 90.00
Fractional coordinates of all 4 atoms:
Ir (0.2530, 0.7530, 0.5060)
P (0.1072, 0.1072, 0.2143)
P (0.7233, 0.2233, 0.4466)
Te (0.4165, 0.4165, 0.8330)



A geometry-optimized InBi2Pb2 structure, computed with PBEsol.

Results
Symmetry: P4/mbm
ρ: 10.05 g cm⁻³
Raw total energy: -38.2 eV/cell

abc: 4.0807 8.7560 8.7560
angles: 90.00 90.00 90.00
Fractional coordinates of all 10 atoms:
Pb (0.5000, 0.1497, 0.6497)
Pb (0.5000, 0.6497, 0.8503)
Pb (0.5000, 0.8503, 0.3503)
Pb (0.5000, 0.3503, 0.1497)
Bi (0.0000, 0.3554, 0.8554)
Bi (0.0000, 0.8554, 0.6446)
Bi (0.0000, 0.6446, 0.1446)
Bi (0.0000, 0.1446, 0.3554)
In (0.0000, 0.0000, 0.0000)
In (0.0000, 0.5000, 0.5000)



A geometry-optimized ReSiBi2W structure, computed with PBEsol.

Results
ΔE_f (raw): 10.1 eV/f.u.
Symmetry: P4/mmm
ρ: 11.35 g cm⁻³

abc: 4.5066 5.1469 5.1469
angles: 90.00 90.00 90.00
Each line ends with the local moment (μB).
Fractional coordinates of all 5 atoms:
Re (0.5000, 0.5000, 0.5000)  2.43
Si (0.0000, 0.0000, 0.0000)  0.01
Bi (0.0000, 0.0000, 0.5000)  -0.07
Bi (0.0000, 0.5000, 0.0000)  -0.07
W (0.5000, 0.0000, 0.0000)  -0.82



A geometry-optimized La2Ge2Pb structure, computed with PBEsol.

Results
Symmetry: I4/mmm
ρ: 7.27 g cm⁻³
Raw total energy: -25.8 eV/cell

abc: 4.9824 4.9824 6.7888
angles: 111.53 111.53 90.00
Fractional coordinates of all 5 atoms:
Pb (0.0000, 0.0000, 0.0000)
Ge (0.3976, 0.3976, 0.7951)
Ge (0.6024, 0.6024, 0.2049)
La (0.2500, 0.7500, 0.5000)
La (0.7500, 0.2500, 0.5000)



A geometry-optimized LiRu2Cl structure, computed with PBEsol.

Results
ΔE_f (raw): 2.8 eV/f.u.
Symmetry: P4/mmm
ρ: 8.10 g cm⁻³
Offset from the most stable computed form: 71.9 kJ per mole of atoms

abc: 2.9696 2.9696 5.6875
angles: 90.00 90.00 90.00
Fractional coordinates of all 4 atoms:
Cl (0.5000, 0.5000, 0.0000)
Li (0.5000, 0.5000, 0.5000)
Ru (0.0000, 0.0000, 0.7349)
Ru (0.0000, 0.0000, 0.2651)



A geometry-optimized Li4BeTl structure, computed with PBEsol.

Results
Symmetry: F-43m
ρ: 4.42 g cm⁻³
Raw total energy: -13.4 eV/cell

abc: 5.0413 5.0413 5.0413
angles: 60.00 60.00 60.00
Fractional coordinates of all 6 atoms:
Be (0.0000, 0.0000, 0.0000)
Li (0.3746, 0.3746, 0.3746)
Li (0.3746, 0.3746, 0.8763)
Li (0.8763, 0.3746, 0.3746)
Li (0.3746, 0.8763, 0.3746)
Tl (0.7500, 0.7500, 0.7500)



Q: Which of these has the highest ρ?
A: ReSiBi2W



Q: Among the records above, which one has the highest ρ?
A: ReSiBi2W



Q: Look up the ρ of the eighth one.
A: 10.05 g cm⁻³